Computed, not measured: a relaxed CaReNi2O crystal at the PBE with a Hubbard U level of DFT.

```
data_CaReNi2O
_chemical_formula_sum 'Ca1 Re1 Ni2 O1'
_cell_length_a 4.303
_cell_length_b 4.303
_cell_length_c 5.952
_cell_angle_alpha 90.00
_cell_angle_beta 90.00
_cell_angle_gamma 90.00
_space_group_name_H-M_alt 'P 4/m m m'
_space_group_IT_number 123
_space_group_name_Hall '-P 4 2'
loop_
_atom_site_label
_atom_site_fract_x
_atom_site_fract_y
_atom_site_fract_z
_atom_site_occupancy
Ca1 0.000 0.000 0.000 1
Re1 0.000 0.000 0.500 1
Ni1 0.000 0.500 0.500 1
O1 0.500 0.500 0.000 1
```

As for the energy: -3.27 eV per atom.